A plane-wave DFT calculation with PBE was carried out for a geometry-optimized Re2HgP structure. Values from VASP.

Offset from the most stable computed form ... 193 meV per atom
SG ... No. 8
Theoretical density ... 12.561 g/cm³
Formation enthalpy at 0 K ... 1.86 eV/f.u.
Uncorrected energy ... -28.74 eV per cell

Geometry as Quantum ESPRESSO input:
```
&SYSTEM
  ibrav = 0, nat = 4, ntyp = 3
/
ATOMIC_SPECIES
P 30.97 P.upf
Hg 200.59 Hg.upf
Re 186.21 Re.upf
CELL_PARAMETERS angstrom
-1.0117 -4.1136 1.2945
0.4019 -4.2089 -1.3209
5.4292 -3.3106 3.0550
ATOMIC_POSITIONS angstrom
P 0.4117 -2.7278 0.3219
Hg 2.3091 -4.9396 1.4279
Re 4.0945 -9.3968 2.5553
Re 0.4140 -0.3856 0.2378
```